Record 1
! NaMnGa2, optimized geometry, DFT PBE; values from VASP
! **Magnetic moment**: 2.4 μB per cell
! **Volume**: 67.6 Å³/cell
! **E_form**: -17 meV per atom
&SYSTEM
  ibrav = 0, nat = 4, ntyp = 3
/
ATOMIC_SPECIES
Na 22.99 Na.upf
Ga 69.72 Ga.upf
Mn 54.94 Mn.upf
CELL_PARAMETERS angstrom
2.804 0.000 0.000
0.000 2.804 0.000
0.000 0.000 8.591
ATOMIC_POSITIONS angstrom
Na 1.402 1.402 4.296
Ga 0.000 0.000 6.821
Ga 0.000 0.000 1.771
Mn 1.402 1.402 0.000

=====

Record 2
! NaMn3Ga, optimized geometry, DFT PBE; values from VASP
! **Magnetic moment**: 12.6 μB per cell
! **Volume**: 120.3 Å³/cell
! **E_form**: 820 meV per atom
&SYSTEM
  ibrav = 0, nat = 5, ntyp = 3
/
ATOMIC_SPECIES
Ga 69.72 Ga.upf
Mn 54.94 Mn.upf
Na 22.99 Na.upf
CELL_PARAMETERS angstrom
4.936 0.000 0.000
0.000 4.936 0.000
0.000 0.000 4.936
ATOMIC_POSITIONS angstrom
Ga 0.000 0.000 0.000
Mn 2.468 0.000 0.000
Mn 0.000 0.000 2.468
Mn 0.000 2.468 0.000
Na 2.468 2.468 2.468

=====

Record 3
! NaMnGa2, optimized geometry, DFT PBE; values from VASP
! **Magnetic moment**: 2.9 μB per cell
! **Volume**: 70.9 Å³/cell
! **E_form**: 106 meV per atom
&SYSTEM
  ibrav = 0, nat = 4, ntyp = 3
/
ATOMIC_SPECIES
Na 22.99 Na.upf
Ga 69.72 Ga.upf
Mn 54.94 Mn.upf
CELL_PARAMETERS angstrom
-0.807 -1.722 2.264
1.648 -2.341 0.738
5.266 4.002 6.851
ATOMIC_POSITIONS angstrom
Na 3.054 -0.030 4.927
Ga 4.748 0.135 7.587
Ga 1.359 -0.195 2.267
Mn 0.000 0.000 0.000

=====

Record 4
! NaMn2Ga2, optimized geometry, DFT PBE; values from VASP
! **Magnetic moment**: 0.0 μB per cell
! **Volume**: 149.9 Å³/cell
! **Distance to the lowest polymorph of the same formula**: 0.889 kcal/mol of atoms
! **E_form**: 150 meV per atom
&SYSTEM
  ibrav = 0, nat = 10, ntyp = 3
/
ATOMIC_SPECIES
Mn 54.94 Mn.upf
Ga 69.72 Ga.upf
Na 22.99 Na.upf
CELL_PARAMETERS angstrom
7.619 0.000 0.000
0.000 7.619 0.000
0.000 0.000 2.583
ATOMIC_POSITIONS angstrom
Mn 0.737 4.546 1.291
Mn 4.546 6.882 1.291
Mn 6.882 3.073 1.291
Mn 3.073 0.737 1.291
Ga 6.190 5.239 0.000
Ga 5.239 1.429 0.000
Ga 1.429 2.380 0.000
Ga 2.380 6.190 0.000
Na 3.809 3.809 0.000
Na 0.000 0.000 0.000

=====

Record 5
! Na3MnGa, optimized geometry, DFT PBE; values from VASP
! **Magnetic moment**: 4.3 μB per cell
! **Volume**: 170.4 Å³/cell
! **Distance to the lowest polymorph of the same formula**: 2.505 kcal/mol of atoms
! **E_form**: 831 meV per atom
&SYSTEM
  ibrav = 0, nat = 5, ntyp = 3
/
ATOMIC_SPECIES
Na 22.99 Na.upf
Mn 54.94 Mn.upf
Ga 69.72 Ga.upf
CELL_PARAMETERS angstrom
5.544 0.000 0.000
0.000 5.544 0.000
0.000 0.000 5.544
ATOMIC_POSITIONS angstrom
Na 0.000 0.000 2.772
Na 0.000 2.772 0.000
Na 2.772 0.000 0.000
Mn 0.000 0.000 0.000
Ga 2.772 2.772 2.772

=====

Record 6
! NaMnGa2, optimized geometry, DFT PBE; values from VASP
! **Magnetic moment**: 3.3 μB per cell
! **Volume**: 62.3 Å³/cell
! **E_form**: 158 meV per atom
&SYSTEM
  ibrav = 0, nat = 4, ntyp = 3
/
ATOMIC_SPECIES
Ga 69.72 Ga.upf
Mn 54.94 Mn.upf
Na 22.99 Na.upf
CELL_PARAMETERS angstrom
0.000 3.146 3.146
3.146 0.000 3.146
3.146 3.146 0.000
ATOMIC_POSITIONS angstrom
Ga 1.573 1.573 1.573
Ga 4.718 4.718 4.718
Mn 3.146 3.146 3.146
Na 0.000 0.000 0.000

=====

Record 7
! NaMn2Ga2, optimized geometry, DFT PBE; values from VASP
! **Magnetic moment**: 0.0 μB per cell
! **Volume**: 148.9 Å³/cell
! **Distance to the lowest polymorph of the same formula**: 0.000 kcal/mol of atoms
! **E_form**: 111 meV per atom
&SYSTEM
  ibrav = 0, nat = 10, ntyp = 3
/
ATOMIC_SPECIES
Na 22.99 Na.upf
Ga 69.72 Ga.upf
Mn 54.94 Mn.upf
CELL_PARAMETERS angstrom
7.561 0.000 0.000
0.000 7.561 0.000
0.000 0.000 2.605
ATOMIC_POSITIONS angstrom
Na 0.000 0.000 0.000
Na 3.781 3.781 0.000
Ga 2.354 1.426 1.303
Ga 1.426 5.207 1.303
Ga 6.135 2.354 1.303
Ga 5.207 6.135 1.303
Mn 0.731 3.050 0.000
Mn 3.050 6.830 0.000
Mn 6.830 4.511 0.000
Mn 4.511 0.731 0.000

=====

Record 8
! Na3MnGa, optimized geometry, DFT PBE; values from VASP
! **Magnetic moment**: 4.4 μB per cell
! **Volume**: 172.2 Å³/cell
! **Distance to the lowest polymorph of the same formula**: 0.000 kcal/mol of atoms
! **E_form**: 722 meV per atom
&SYSTEM
  ibrav = 0, nat = 5, ntyp = 3
/
ATOMIC_SPECIES
Na 22.99 Na.upf
Ga 69.72 Ga.upf
Mn 54.94 Mn.upf
CELL_PARAMETERS angstrom
5.564 0.000 0.000
0.000 5.564 0.000
0.000 0.000 5.564
ATOMIC_POSITIONS angstrom
Na 0.000 0.000 2.782
Na 0.000 2.782 0.000
Na 2.782 0.000 0.000
Ga 0.000 0.000 0.000
Mn 2.782 2.782 2.782